Here is VAg2O4 after structural relaxation from the Alexandria database. Energies are from GGA+U.

Geometry as extended XYZ:
```
28
Lattice="5.318 -5.848 0.000 5.318 5.848 0.000 -0.843 0.000 6.617" Properties=species:S:1:pos:R:3 pbc="T T T"
V 2.007 0.242 3.061
V 1.585 -0.242 6.370
V 8.208 0.242 0.247
V 7.786 -0.242 3.556
Ag 3.186 2.768 1.600
Ag 4.686 3.710 4.963
Ag 4.686 0.847 4.963
Ag 7.029 2.768 1.709
Ag 2.764 -2.768 4.908
Ag 5.107 -0.847 1.654
Ag 5.107 -3.710 1.654
Ag 6.608 -2.768 5.017
O 3.397 3.962 3.315
O 1.439 0.155 1.407
O 2.077 1.537 6.454
O 1.018 -0.155 4.716
O 3.631 0.942 3.030
O 5.975 3.962 6.610
O 2.498 -1.537 3.146
O 3.209 -0.942 6.338
O 6.584 0.942 0.278
O 7.295 1.537 3.471
O 3.818 -3.962 0.007
O 6.163 -0.942 3.587
O 8.775 0.155 1.901
O 7.717 -1.537 0.162
O 8.354 -0.155 5.210
O 6.396 -3.962 3.302
```

V, Å³ per cell: 411.6
Excess energy over the best structure of this formula in the dataset, meV per atom: 0
Theoretical density, g/cm3: 5.34
Symmetry: C2/c (15)